(1)
Below is an optimized crystal structure of Na2InHgN, with properties calculated at the PBE-GGA level.

**Energy relative to the elements, uncorrected**: 58 meV per atom
**N(E_F)**: 2.153 states/eV/cell

The structure in POSCAR format:
```
Na2InHgN
1.0
4.927 0.000 0.000
0.000 4.927 0.000
0.000 0.000 4.471
Na Hg N In
2 1 1 1
Direct
0.000 0.500 0.000
0.500 0.000 0.000
0.500 0.500 0.500
0.000 0.000 0.000
0.000 0.000 0.500
```


(2)
Below is an optimized crystal structure of BaSrZnP2, with properties calculated at the PBE-GGA level.

**E_form**: -4.023 eV per formula unit

The structure in POSCAR format:
```
BaSrZnP2
1.0
5.156 0.000 0.000
0.000 7.531 0.085
0.000 -2.182 8.148
Ba P Zn Sr
2 4 2 2
Direct
0.210 0.500 0.750
0.790 0.500 0.250
0.753 0.249 0.532
0.753 0.751 0.968
0.247 0.751 0.468
0.247 0.249 0.032
0.000 0.000 0.000
0.000 0.000 0.500
0.461 0.000 0.250
0.539 0.000 0.750
```


(3)
Below is an optimized crystal structure of BaMg2Tl4Hg, with properties calculated at the PBE-GGA level.

**E_form**: -1.125 eV per formula unit
**N(E_F)**: 3.627 states/eV/cell

The structure in POSCAR format:
```
BaMg2Tl4Hg
1.0
-3.744 2.773 2.504
-4.819 -2.072 0.675
0.017 -3.648 9.652
Tl Hg Mg Ba
4 1 2 1
Direct
0.871 0.871 0.386
0.395 0.395 0.814
0.605 0.605 0.186
0.129 0.129 0.614
0.500 0.500 0.500
0.243 0.243 0.270
0.757 0.757 0.730
0.000 0.000 0.000
```


| no. | magnetization (μB/f.u.) |
| --- | --- |
| 1 | 0.00 |
| 2 | 0.00 |
| 3 | 0.00 |